VASP calculation (PBE-GGA) on crystalline Gd2YTc at its relaxed geometry.

abc: 3.468 3.468 8.990
angles: 90.00 90.00 90.00
Fractional coordinates of all 4 atoms:
Gd 0.000 0.000 0.186
Gd 0.000 0.000 0.814
Y 0.500 0.500 0.500
Tc 0.500 0.500 0.000

Computed properties:
- symmetry = P4/mmm



VASP calculation (PBE-GGA) on crystalline DyYGeRh at its relaxed geometry.

abc: 4.170 5.666 5.666
angles: 41.85 90.00 90.00
Fractional coordinates of all 4 atoms:
Dy 0.000 0.000 0.000
Y 0.500 0.280 0.280
Ge 0.500 0.566 0.566
Rh 0.000 0.721 0.721

Computed properties:
- symmetry = Amm2



no.,energy above the most stable polymorph in this dataset (eV/atom),energy (eV/atom),calculated formation energy (eV per atom)
1,0.000,-11.195,0.053
2,0.000,-6.625,-0.866